A geometry-optimized TaAg2Pt structure. Source: the Alexandria database, functional PBE.

Calculated values
Symmetry: R3m, No. 160
Energy relative to the lowest polymorph listed for this composition: 6.0 kJ per mole of atoms
Calculated volume: 69.2 Å³/f.u.
Energy of formation from the pure elements: -4.7 kJ per mole of atoms
Calculated total energy: -5.95 eV per atom
Total magnetization: 0.000 μB per atom

Geometry as CIF:
```
data_TaAg2Pt
_space_group_name_H-M_alt 'P 1'
_space_group_IT_number 1
_space_group_name_Hall 'P 1'
_cell_length_a 9.7721
_cell_length_b 9.7721
_cell_length_c 9.7721
_cell_angle_alpha 16.95
_cell_angle_beta 16.95
_cell_angle_gamma 16.95
loop_
_atom_site_label
_atom_site_type_symbol
_atom_site_fract_x
_atom_site_fract_y
_atom_site_fract_z
Ta1 Ta 0.0000 0.0000 0.0000
Ag1 Ag 0.2469 0.2469 0.2469
Ag2 Ag 0.4954 0.4954 0.4954
Pt1 Pt 0.7436 0.7436 0.7436
```



A geometry-optimized TaAgPt structure. Source: the Alexandria database, functional PBE.

Calculated values
Symmetry: Imm2, No. 44
Energy relative to the lowest polymorph listed for this composition: 0.0 kJ per mole of atoms
Calculated volume: 49.9 Å³/f.u.
Energy of formation from the pure elements: -22.3 kJ per mole of atoms
Calculated total energy: -7.15 eV per atom
Total magnetization: 0.000 μB per atom

Geometry as CIF:
```
data_TaAgPt
_space_group_name_H-M_alt 'P 1'
_space_group_IT_number 1
_space_group_name_Hall 'P 1'
_cell_length_a 4.9435
_cell_length_b 4.9435
_cell_length_c 4.9435
_cell_angle_alpha 146.31
_cell_angle_beta 131.23
_cell_angle_gamma 60.59
loop_
_atom_site_label
_atom_site_type_symbol
_atom_site_fract_x
_atom_site_fract_y
_atom_site_fract_z
Ta1 Ta 0.0000 0.0000 0.0000
Ag1 Ag 0.6718 0.6718 0.0000
Pt1 Pt 0.3415 0.3415 0.0000
```



A geometry-optimized Ta2AgPt9 structure. Source: the Alexandria database, functional PBE.

Calculated values
Symmetry: P4/mmm, No. 123
Calculated volume: 192.0 Å³/f.u.
Energy of formation from the pure elements: -51.8 kJ per mole of atoms
Calculated total energy: -7.28 eV per atom
Total magnetization: 0.000 μB per atom

Geometry as CIF:
```
data_Ta2AgPt9
_space_group_name_H-M_alt 'P 1'
_space_group_IT_number 1
_space_group_name_Hall 'P 1'
_cell_length_a 4.0083
_cell_length_b 4.0083
_cell_length_c 11.9516
_cell_angle_alpha 90.00
_cell_angle_beta 90.00
_cell_angle_gamma 90.00
loop_
_atom_site_label
_atom_site_type_symbol
_atom_site_fract_x
_atom_site_fract_y
_atom_site_fract_z
Ta1 Ta 0.0000 0.0000 0.1742
Ta2 Ta 0.0000 0.0000 0.8258
Ag1 Ag 0.0000 0.0000 0.5000
Pt1 Pt 0.0000 0.5000 0.0000
Pt2 Pt 0.0000 0.5000 0.3253
Pt3 Pt 0.0000 0.5000 0.6747
Pt4 Pt 0.5000 0.0000 0.0000
Pt5 Pt 0.5000 0.0000 0.3253
Pt6 Pt 0.5000 0.0000 0.6747
Pt7 Pt 0.5000 0.5000 0.1624
Pt8 Pt 0.5000 0.5000 0.5000
Pt9 Pt 0.5000 0.5000 0.8376
```



A geometry-optimized TaAg2Pt structure. Source: the Alexandria database, functional PBE.

Calculated values
Symmetry: Cmmm, No. 65
Energy relative to the lowest polymorph listed for this composition: 26.7 kJ per mole of atoms
Calculated volume: 69.1 Å³/f.u.
Energy of formation from the pure elements: 16.0 kJ per mole of atoms
Calculated total energy: -5.73 eV per atom
Total magnetization: 0.000 μB per atom

Geometry as CIF:
```
data_TaAg2Pt
_space_group_name_H-M_alt 'P 1'
_space_group_IT_number 1
_space_group_name_Hall 'P 1'
_cell_length_a 2.7754
_cell_length_b 2.7754
_cell_length_c 9.7252
_cell_angle_alpha 90.00
_cell_angle_beta 90.00
_cell_angle_gamma 112.77
loop_
_atom_site_label
_atom_site_type_symbol
_atom_site_fract_x
_atom_site_fract_y
_atom_site_fract_z
Ta1 Ta 0.0000 0.0000 0.0000
Ag1 Ag 0.5000 0.5000 0.2542
Ag2 Ag 0.5000 0.5000 0.7458
Pt1 Pt 0.0000 0.0000 0.5000
```



A geometry-optimized TaAg2Pt structure. Source: the Alexandria database, functional PBE.

Calculated values
Symmetry: Cm, No. 8
Energy relative to the lowest polymorph listed for this composition: 11.6 kJ per mole of atoms
Calculated volume: 68.5 Å³/f.u.
Energy of formation from the pure elements: 0.9 kJ per mole of atoms
Calculated total energy: -5.89 eV per atom
Total magnetization: 0.000 μB per atom

Geometry as CIF:
```
data_TaAg2Pt
_space_group_name_H-M_alt 'P 1'
_space_group_IT_number 1
_space_group_name_Hall 'P 1'
_cell_length_a 4.9096
_cell_length_b 4.9096
_cell_length_c 5.1841
_cell_angle_alpha 98.15
_cell_angle_beta 98.15
_cell_angle_gamma 33.69
loop_
_atom_site_label
_atom_site_type_symbol
_atom_site_fract_x
_atom_site_fract_y
_atom_site_fract_z
Ta1 Ta 0.0000 0.0000 0.0000
Ag1 Ag 0.5066 0.5066 0.5118
Ag2 Ag 0.7543 0.7543 0.2949
Pt1 Pt 0.2543 0.2543 0.8078
```



A geometry-optimized TaAg2Pt structure. Source: the Alexandria database, functional PBE.

Calculated values
Symmetry: Cmmm, No. 65
Energy relative to the lowest polymorph listed for this composition: 30.3 kJ per mole of atoms
Calculated volume: 69.2 Å³/f.u.
Energy of formation from the pure elements: 19.6 kJ per mole of atoms
Calculated total energy: -5.70 eV per atom
Total magnetization: 0.000 μB per atom

Geometry as CIF:
```
data_TaAg2Pt
_space_group_name_H-M_alt 'P 1'
_space_group_IT_number 1
_space_group_name_Hall 'P 1'
_cell_length_a 5.2928
_cell_length_b 5.2928
_cell_length_c 2.8221
_cell_angle_alpha 90.00
_cell_angle_beta 90.00
_cell_angle_gamma 118.94
loop_
_atom_site_label
_atom_site_type_symbol
_atom_site_fract_x
_atom_site_fract_y
_atom_site_fract_z
Ta1 Ta 0.0000 0.0000 0.0000
Ag1 Ag 0.0000 0.5000 0.5000
Ag2 Ag 0.5000 0.0000 0.5000
Pt1 Pt 0.5000 0.5000 0.0000
```



A geometry-optimized TaAg2Pt structure. Source: the Alexandria database, functional PBE.

Calculated values
Symmetry: Fm-3m, No. 225
Energy relative to the lowest polymorph listed for this composition: 35.1 kJ per mole of atoms
Calculated volume: 67.4 Å³/f.u.
Energy of formation from the pure elements: 24.4 kJ per mole of atoms
Calculated total energy: -5.65 eV per atom
Total magnetization: 0.000 μB per atom

Geometry as CIF:
```
data_TaAg2Pt
_space_group_name_H-M_alt 'P 1'
_space_group_IT_number 1
_space_group_name_Hall 'P 1'
_cell_length_a 4.5677
_cell_length_b 4.5677
_cell_length_c 4.5677
_cell_angle_alpha 60.00
_cell_angle_beta 60.00
_cell_angle_gamma 60.00
loop_
_atom_site_label
_atom_site_type_symbol
_atom_site_fract_x
_atom_site_fract_y
_atom_site_fract_z
Ta1 Ta 0.0000 0.0000 0.0000
Ag1 Ag 0.2500 0.2500 0.2500
Ag2 Ag 0.7500 0.7500 0.7500
Pt1 Pt 0.5000 0.5000 0.5000
```



A geometry-optimized TaAg2Pt structure. Source: the Alexandria database, functional PBE.

Calculated values
Symmetry: I-42d, No. 122
Energy relative to the lowest polymorph listed for this composition: 69.7 kJ per mole of atoms
Calculated volume: 75.5 Å³/f.u.
Energy of formation from the pure elements: 59.0 kJ per mole of atoms
Calculated total energy: -5.29 eV per atom
Total magnetization: 0.000 μB per atom

Geometry as CIF:
```
data_TaAg2Pt
_space_group_name_H-M_alt 'P 1'
_space_group_IT_number 1
_space_group_name_Hall 'P 1'
_cell_length_a 5.9601
_cell_length_b 5.9601
_cell_length_c 5.9601
_cell_angle_alpha 101.39
_cell_angle_beta 101.39
_cell_angle_gamma 127.23
loop_
_atom_site_label
_atom_site_type_symbol
_atom_site_fract_x
_atom_site_fract_y
_atom_site_fract_z
Ta1 Ta 0.0000 0.0000 0.0000
Ta2 Ta 0.7500 0.2500 0.5000
Ag1 Ag 0.1291 0.6250 0.0041
Ag2 Ag 0.3750 0.3791 0.5041
Ag3 Ag 0.6209 0.1250 0.9959
Ag4 Ag 0.8750 0.8709 0.4959
Pt1 Pt 0.2500 0.7500 0.5000
Pt2 Pt 0.5000 0.5000 0.0000
```



A geometry-optimized TaAg2Pt structure. Source: the Alexandria database, functional PBE.

Calculated values
Symmetry: I4/mmm, No. 139
Energy relative to the lowest polymorph listed for this composition: 19.3 kJ per mole of atoms
Calculated volume: 67.9 Å³/f.u.
Energy of formation from the pure elements: 8.6 kJ per mole of atoms
Calculated total energy: -5.81 eV per atom
Total magnetization: 0.000 μB per atom

Geometry as CIF:
```
data_TaAg2Pt
_space_group_name_H-M_alt 'P 1'
_space_group_IT_number 1
_space_group_name_Hall 'P 1'
_cell_length_a 5.1696
_cell_length_b 5.1696
_cell_length_c 5.1696
_cell_angle_alpha 135.08
_cell_angle_beta 135.08
_cell_angle_gamma 65.41
loop_
_atom_site_label
_atom_site_type_symbol
_atom_site_fract_x
_atom_site_fract_y
_atom_site_fract_z
Ta1 Ta 0.0000 0.0000 0.0000
Ag1 Ag 0.2500 0.7500 0.5000
Ag2 Ag 0.7500 0.2500 0.5000
Pt1 Pt 0.5000 0.5000 0.0000
```



A geometry-optimized TaAg2Pt structure. Source: the Alexandria database, functional PBE.

Calculated values
Symmetry: P4/mmm, No. 123
Energy relative to the lowest polymorph listed for this composition: 28.3 kJ per mole of atoms
Calculated volume: 70.1 Å³/f.u.
Energy of formation from the pure elements: 17.6 kJ per mole of atoms
Calculated total energy: -5.72 eV per atom
Total magnetization: 0.000 μB per atom

Geometry as CIF:
```
data_TaAg2Pt
_space_group_name_H-M_alt 'P 1'
_space_group_IT_number 1
_space_group_name_Hall 'P 1'
_cell_length_a 3.8255
_cell_length_b 3.8255
_cell_length_c 4.7887
_cell_angle_alpha 90.00
_cell_angle_beta 90.00
_cell_angle_gamma 90.00
loop_
_atom_site_label
_atom_site_type_symbol
_atom_site_fract_x
_atom_site_fract_y
_atom_site_fract_z
Ta1 Ta 0.0000 0.0000 0.0000
Ag1 Ag 0.0000 0.5000 0.5000
Ag2 Ag 0.5000 0.0000 0.5000
Pt1 Pt 0.5000 0.5000 0.0000
```



A geometry-optimized TaAg3Pt structure. Source: the Alexandria database, functional PBE.

Calculated values
Symmetry: Pm-3m, No. 221
Energy relative to the lowest polymorph listed for this composition: 0.0 kJ per mole of atoms
Calculated volume: 120.6 Å³/f.u.
Energy of formation from the pure elements: 154.8 kJ per mole of atoms
Calculated total energy: -3.68 eV per atom
Total magnetization: 0.001 μB per atom

Geometry as CIF:
```
data_TaAg3Pt
_space_group_name_H-M_alt 'P 1'
_space_group_IT_number 1
_space_group_name_Hall 'P 1'
_cell_length_a 4.9407
_cell_length_b 4.9407
_cell_length_c 4.9407
_cell_angle_alpha 90.00
_cell_angle_beta 90.00
_cell_angle_gamma 90.00
loop_
_atom_site_label
_atom_site_type_symbol
_atom_site_fract_x
_atom_site_fract_y
_atom_site_fract_z
Ta1 Ta 0.0000 0.0000 0.0000
Ag1 Ag 0.0000 0.5000 0.5000
Ag2 Ag 0.5000 0.0000 0.5000
Ag3 Ag 0.5000 0.5000 0.0000
Pt1 Pt 0.5000 0.5000 0.5000
```



A geometry-optimized TaAg2Pt structure. Source: the Alexandria database, functional PBE.

Calculated values
Symmetry: I-4m2, No. 119
Energy relative to the lowest polymorph listed for this composition: 14.9 kJ per mole of atoms
Calculated volume: 67.9 Å³/f.u.
Energy of formation from the pure elements: 4.2 kJ per mole of atoms
Calculated total energy: -5.86 eV per atom
Total magnetization: 0.000 μB per atom

Geometry as CIF:
```
data_TaAg2Pt
_space_group_name_H-M_alt 'P 1'
_space_group_IT_number 1
_space_group_name_Hall 'P 1'
_cell_length_a 4.8106
_cell_length_b 4.8106
_cell_length_c 4.8106
_cell_angle_alpha 127.57
_cell_angle_beta 127.57
_cell_angle_gamma 77.33
loop_
_atom_site_label
_atom_site_type_symbol
_atom_site_fract_x
_atom_site_fract_y
_atom_site_fract_z
Ta1 Ta 0.0000 0.0000 0.0000
Ag1 Ag 0.5000 0.5000 0.0000
Ag2 Ag 0.7500 0.2500 0.5000
Pt1 Pt 0.2500 0.7500 0.5000
```